## Er4Ti (PBE)

Data for crystalline Er4Ti at its relaxed geometry.

Lattice parameters (Å, degrees): 5.359 5.359 5.359 90.00 90.00 90.00
Space group Pm-3m (No. 221)
Symmetry-distinct sites (fractional):
Er 0.000 0.000 0.000 (multiplicity 1)
Er 0.000 0.500 0.500 (multiplicity 3)
Ti 0.500 0.500 0.500 (multiplicity 1)

Formation energy in eV/atom: 0.49